# 1
Computed, not measured: crystalline SnTeO4 at its relaxed geometry at the GGA-PBE level of DFT. Values from VASP.

```
&SYSTEM
  ibrav = 0, nat = 12, ntyp = 3
/
ATOMIC_SPECIES
Sn 118.71 Sn.upf
Te 127.60 Te.upf
O 16.00 O.upf
CELL_PARAMETERS angstrom
5.4091 0.0000 0.0000
0.0000 5.2443 0.0000
0.0000 0.0000 5.8150
ATOMIC_POSITIONS angstrom
Sn 0.0000 0.0000 0.0000
Sn 0.0000 2.6222 2.9075
Te 2.7046 0.0000 1.9104
Te 2.7046 2.6222 4.8179
O 0.8968 1.2520 1.5767
O 0.8968 1.3702 4.4842
O 1.7417 3.6104 3.3871
O 1.7417 4.2561 0.4796
O 3.6674 0.9882 0.4796
O 3.6674 1.6339 3.3871
O 4.5123 3.8741 4.4842
O 4.5123 3.9924 1.5767
```

E_form (uncorrected)   -1260.2 meV per atom
Magnetization   0.00 μB per formula unit
Calculated volume   13.746 A^3/atom
Fermi-level density of states   0.0000 states/eV/atom

---

# 2
Computed, not measured: crystalline Cs2CuGe at its relaxed geometry at the GGA-PBE level of DFT. Values from VASP.

```
&SYSTEM
  ibrav = 0, nat = 4, ntyp = 3
/
ATOMIC_SPECIES
Cs 132.91 Cs.upf
Cu 63.55 Cu.upf
Ge 72.64 Ge.upf
CELL_PARAMETERS angstrom
0.0000 4.4797 4.4797
4.4797 0.0000 4.4797
4.4797 4.4797 0.0000
ATOMIC_POSITIONS angstrom
Cs 2.2399 2.2399 2.2399
Cs 6.7196 6.7196 6.7196
Cu 0.0000 0.0000 0.0000
Ge 4.4797 4.4797 4.4797
```

ΔH_f (0 K)   0.549 eV/atom
Magnetization   2.79 μB per formula unit
Calculated volume   44.949 A^3/atom
Fermi-level density of states   0.4638 states/eV/atom

---

# 3
Computed, not measured: crystalline La2Tc at its relaxed geometry at the GGA-PBE level of DFT. Values from VASP.

```
&SYSTEM
  ibrav = 0, nat = 12, ntyp = 2
/
ATOMIC_SPECIES
La 138.91 La.upf
Tc 98.00 Tc.upf
CELL_PARAMETERS angstrom
6.9120 0.0000 0.0000
-3.4560 5.9860 0.0000
0.0000 0.0000 7.9002
ATOMIC_POSITIONS angstrom
La 0.0000 0.0000 0.0000
La 0.0000 0.0000 3.9501
La 0.0000 2.2225 1.9751
La -1.5313 4.8747 1.9751
La 1.9247 1.1112 5.9252
La 1.5313 4.8747 1.9751
La 4.9873 1.1112 5.9252
La 3.4560 3.7635 5.9252
Tc 0.0000 3.9906 4.8231
Tc 0.0000 3.9906 7.0273
Tc 3.4560 1.9953 0.8729
Tc 3.4560 1.9953 3.0772
```

ΔH_f (0 K)   0.759 eV/atom
Magnetization   0.00 μB per formula unit
Polymorph energy (0 for the lowest one)   725 meV per atom
Calculated volume   27.239 A^3/atom
Fermi-level density of states   1.7552 states/eV/atom

---

# 4
Computed, not measured: crystalline TePb4 at its relaxed geometry at the GGA-PBE level of DFT. Values from VASP.

```
&SYSTEM
  ibrav = 0, nat = 5, ntyp = 2
/
ATOMIC_SPECIES
Te 127.60 Te.upf
Pb 207.20 Pb.upf
CELL_PARAMETERS angstrom
-3.8791 3.8791 2.6169
3.8791 -3.8791 2.6169
3.8791 3.8791 -2.6169
ATOMIC_POSITIONS angstrom
Te 0.0000 0.0000 0.0000
Pb 3.0518 1.5307 0.0000
Pb 2.3484 -0.8273 2.6169
Pb 1.5307 4.7064 0.0000
Pb 0.8273 2.3484 2.6169
```

E_form (uncorrected)   -9.3 meV per atom
Magnetization   0.00 μB per formula unit
Polymorph energy (0 for the lowest one)   0 meV per atom
Calculated volume   31.503 A^3/atom
Fermi-level density of states   0.5397 states/eV/atom

---

# 5
Computed, not measured: crystalline Nd2Sm3Tm at its relaxed geometry at the GGA-PBE level of DFT. Values from VASP.

```
&SYSTEM
  ibrav = 0, nat = 12, ntyp = 3
/
ATOMIC_SPECIES
Nd 144.24 Nd.upf
Sm 150.36 Sm.upf
Tm 168.93 Tm.upf
CELL_PARAMETERS angstrom
5.4554 -3.1463 0.0000
5.4554 3.1463 0.0000
0.0000 0.0000 11.7331
ATOMIC_POSITIONS angstrom
Nd 1.8252 1.0453 2.9333
Nd 1.8252 -1.0453 8.7998
Nd 9.0857 1.0453 2.9333
Nd 9.0857 -1.0453 8.7998
Sm 0.0000 0.0000 0.0000
Sm 0.0000 0.0000 5.8665
Sm 3.6590 0.0000 0.0000
Sm 3.6590 0.0000 5.8665
Sm 7.2519 0.0000 0.0000
Sm 7.2519 0.0000 5.8665
Tm 5.4554 1.0503 2.9333
Tm 5.4554 -1.0503 8.7998
```

ΔH_f (0 K)   0.000 eV/atom
Magnetization   0.00 μB per formula unit
Polymorph energy (0 for the lowest one)   0 meV per atom
Calculated volume   33.565 A^3/atom
Fermi-level density of states   1.0919 states/eV/atom

---

# 6
Computed, not measured: crystalline Nd3SiN at its relaxed geometry at the GGA-PBE level of DFT. Values from VASP.

```
&SYSTEM
  ibrav = 0, nat = 5, ntyp = 3
/
ATOMIC_SPECIES
Nd 144.24 Nd.upf
Si 28.09 Si.upf
N 14.01 N.upf
CELL_PARAMETERS angstrom
4.9204 0.0000 0.0000
0.0000 4.9204 0.0000
0.0000 0.0000 4.9204
ATOMIC_POSITIONS angstrom
Nd 0.0000 0.0000 2.4602
Nd 0.0000 2.4602 0.0000
Nd 2.4602 0.0000 0.0000
Si 2.4602 2.4602 2.4602
N 0.0000 0.0000 0.0000
```

E_form (uncorrected)   -767.1 meV per atom
Magnetization   0.00 μB per formula unit
Polymorph energy (0 for the lowest one)   0 meV per atom
Calculated volume   23.825 A^3/atom
Fermi-level density of states   0.3860 states/eV/atom

---

# 7
Computed, not measured: crystalline NaGeCl3 at its relaxed geometry at the GGA-PBE level of DFT. Values from VASP.

```
&SYSTEM
  ibrav = 0, nat = 5, ntyp = 3
/
ATOMIC_SPECIES
Na 22.99 Na.upf
Ge 72.64 Ge.upf
Cl 35.45 Cl.upf
CELL_PARAMETERS angstrom
5.2235 0.0000 0.0000
0.0000 5.2235 0.0000
0.0000 0.0000 5.2235
ATOMIC_POSITIONS angstrom
Na 0.0000 0.0000 0.0000
Ge 2.6118 2.6118 2.6118
Cl 0.0000 2.6118 2.6118
Cl 2.6118 0.0000 2.6118
Cl 2.6118 2.6118 0.0000
```

E_form (uncorrected)   -1061.1 meV per atom
Magnetization   0.00 μB per formula unit
Calculated volume   28.505 A^3/atom
Fermi-level density of states   0.0000 states/eV/atom

---

# 8
Computed, not measured: crystalline La2MgAg4Sn3 at its relaxed geometry at the GGA-PBE level of DFT. Values from VASP.

```
&SYSTEM
  ibrav = 0, nat = 10, ntyp = 4
/
ATOMIC_SPECIES
La 138.91 La.upf
Mg 24.30 Mg.upf
Ag 107.87 Ag.upf
Sn 118.71 Sn.upf
CELL_PARAMETERS angstrom
4.5867 0.0000 0.0000
0.0000 4.5867 0.0000
0.0000 0.0000 11.7022
ATOMIC_POSITIONS angstrom
La 0.0000 2.2934 2.7622
La 2.2934 0.0000 8.9401
Mg 0.0000 0.0000 5.8511
Ag 0.0000 0.0000 0.0000
Ag 0.0000 2.2934 7.4148
Ag 2.2934 0.0000 4.2874
Ag 2.2934 2.2934 0.0000
Sn 0.0000 2.2934 10.0852
Sn 2.2934 0.0000 1.6171
Sn 2.2934 2.2934 5.8511
```

ΔH_f (0 K)   -0.431 eV/atom
Magnetization   0.00 μB per formula unit
Calculated volume   24.619 A^3/atom
Fermi-level density of states   0.4260 states/eV/atom

---

# 9
Computed, not measured: crystalline ErTmPdRu at its relaxed geometry at the GGA-PBE level of DFT. Values from VASP.

```
&SYSTEM
  ibrav = 0, nat = 4, ntyp = 4
/
ATOMIC_SPECIES
Er 167.26 Er.upf
Tm 168.93 Tm.upf
Pd 106.42 Pd.upf
Ru 101.07 Ru.upf
CELL_PARAMETERS angstrom
3.4171 0.0000 0.0000
0.0000 3.4171 0.0000
0.0000 0.0000 6.8108
ATOMIC_POSITIONS angstrom
Er 0.0000 0.0000 0.0000
Tm 0.0000 0.0000 3.2737
Pd 1.7086 1.7086 5.0302
Ru 1.7086 1.7086 1.6453
```

ΔH_f (0 K)   -0.750 eV/atom
Magnetization   0.00 μB per formula unit
Polymorph energy (0 for the lowest one)   0 meV per atom
Calculated volume   19.882 A^3/atom
Fermi-level density of states   0.3696 states/eV/atom

---

# 10
Computed, not measured: crystalline ErAlTl2S4 at its relaxed geometry at the GGA-PBE level of DFT. Values from VASP.

```
&SYSTEM
  ibrav = 0, nat = 16, ntyp = 4
/
ATOMIC_SPECIES
Er 167.26 Er.upf
Al 26.98 Al.upf
Tl 204.38 Tl.upf
S 32.06 S.upf
CELL_PARAMETERS angstrom
-3.9445 4.1645 5.7461
3.9445 -4.1645 5.7461
3.9445 4.1645 -5.7461
ATOMIC_POSITIONS angstrom
Er 0.0000 0.0000 0.0000
Er 0.0000 4.1645 0.0000
Al -1.9723 2.0822 2.8731
Al 1.9723 2.0822 2.8731
Tl 1.9723 2.0822 -2.8731
Tl 1.9723 -2.0822 2.8731
Tl 3.9445 0.0000 0.0000
Tl 0.0000 0.0000 5.7461
S 1.7596 2.0822 0.3386
S 2.1850 -2.0822 6.0848
S 0.0000 0.4439 2.7413
S 3.9445 0.4439 3.0049
S 0.0000 3.7206 2.7413
S 3.9445 3.7206 3.0049
S 1.7596 6.2467 -0.3386
S 2.1850 2.0822 5.4075
```

E_form (uncorrected)   -984.5 meV per atom
Magnetization   0.00 μB per formula unit
Calculated volume   23.598 A^3/atom
Fermi-level density of states   0.0387 states/eV/atom

---

# 11
Computed, not measured: crystalline Ca3TeP at its relaxed geometry at the GGA-PBE level of DFT. Values from VASP.

```
&SYSTEM
  ibrav = 0, nat = 5, ntyp = 3
/
ATOMIC_SPECIES
Ca 40.08 Ca.upf
Te 127.60 Te.upf
P 30.97 P.upf
CELL_PARAMETERS angstrom
5.4529 0.0000 0.0000
0.0000 5.4529 0.0000
0.0000 0.0000 5.4529
ATOMIC_POSITIONS angstrom
Ca 0.0000 0.0000 2.7264
Ca 0.0000 2.7264 0.0000
Ca 2.7264 0.0000 0.0000
Te 2.7264 2.7264 2.7264
P 0.0000 0.0000 0.0000
```

E_form (uncorrected)   -985.7 meV per atom
Magnetization   0.00 μB per formula unit
Polymorph energy (0 for the lowest one)   135 meV per atom
Calculated volume   32.427 A^3/atom
Fermi-level density of states   0.8608 states/eV/atom

---

# 12
Computed, not measured: crystalline Zr2Zn2Br at its relaxed geometry at the GGA-PBE level of DFT. Values from VASP.

```
&SYSTEM
  ibrav = 0, nat = 10, ntyp = 3
/
ATOMIC_SPECIES
Zr 91.22 Zr.upf
Zn 65.41 Zn.upf
Br 79.90 Br.upf
CELL_PARAMETERS angstrom
7.8919 0.0000 0.0000
0.0000 7.8919 0.0000
0.0000 0.0000 3.2926
ATOMIC_POSITIONS angstrom
Zr 1.4405 2.5055 0.0000
Zr 2.5055 6.4515 0.0000
Zr 5.3864 1.4405 0.0000
Zr 6.4515 5.3864 0.0000
Zn 0.8751 4.8211 1.6463
Zn 3.0709 0.8751 1.6463
Zn 4.8211 7.0168 1.6463
Zn 7.0168 3.0709 1.6463
Br 0.0000 0.0000 1.6463
Br 3.9460 3.9460 1.6463
```

E_form (uncorrected)   50.4 meV per atom
Magnetization   0.00 μB per formula unit
Polymorph energy (0 for the lowest one)   272 meV per atom
Calculated volume   20.507 A^3/atom
Fermi-level density of states   0.9612 states/eV/atom

---

Copy entry 12 word for word.
Computed, not measured: crystalline Zr2Zn2Br at its relaxed geometry at the GGA-PBE level of DFT. Values from VASP.

```
&SYSTEM
  ibrav = 0, nat = 10, ntyp = 3
/
ATOMIC_SPECIES
Zr 91.22 Zr.upf
Zn 65.41 Zn.upf
Br 79.90 Br.upf
CELL_PARAMETERS angstrom
7.8919 0.0000 0.0000
0.0000 7.8919 0.0000
0.0000 0.0000 3.2926
ATOMIC_POSITIONS angstrom
Zr 1.4405 2.5055 0.0000
Zr 2.5055 6.4515 0.0000
Zr 5.3864 1.4405 0.0000
Zr 6.4515 5.3864 0.0000
Zn 0.8751 4.8211 1.6463
Zn 3.0709 0.8751 1.6463
Zn 4.8211 7.0168 1.6463
Zn 7.0168 3.0709 1.6463
Br 0.0000 0.0000 1.6463
Br 3.9460 3.9460 1.6463
```

E_form (uncorrected)   50.4 meV per atom
Magnetization   0.00 μB per formula unit
Polymorph energy (0 for the lowest one)   272 meV per atom
Calculated volume   20.507 A^3/atom
Fermi-level density of states   0.9612 states/eV/atom